## i
Entry from the Alexandria database: a relaxed K2UCl8 crystal (PBE).

Properties
Its space group is P-1 (2).

a b c (Å): 6.230 6.266 10.857
angles (deg): 104.56 105.23 90.93
Element x y z (fractional)
K  0.249  0.248  0.497
K  0.751  0.752  0.503
U  0.500  0.000  0.000
Cl  0.213  0.107  0.825
Cl  0.231  0.709  0.001
Cl  0.234  0.734  0.466
Cl  0.378  0.264  0.176
Cl  0.622  0.736  0.824
Cl  0.766  0.266  0.534
Cl  0.769  0.291  0.999
Cl  0.787  0.893  0.175


## ii
Entry from the Alexandria database: a relaxed K2UCl8 crystal (PBE).

Properties
Its space group is C2/m (12).

a b c (Å): 11.289 11.289 6.484
angles (deg): 93.65 93.65 25.09
Element x y z (fractional)
K  0.205  0.205  0.244
K  0.795  0.795  0.756
U  0.500  0.500  0.500
Cl  0.021  0.021  0.289
Cl  0.213  0.213  0.750
Cl  0.395  0.395  0.639
Cl  0.434  0.434  0.177
Cl  0.566  0.566  0.823
Cl  0.605  0.605  0.361
Cl  0.787  0.787  0.250
Cl  0.979  0.979  0.711


Most stable to least stable, the ends of the list are i and ii.


## i
Entry from the Alexandria database: a relaxed K2VCl5 crystal (PBE).

Properties
Its space group is Pnma (62).

a b c (Å): 9.004 6.893 14.129
angles (deg): 90.00 90.00 90.00
Element x y z (fractional)
K  0.045  0.250  0.201
K  0.168  0.750  0.415
K  0.332  0.250  0.915
K  0.455  0.750  0.701
K  0.545  0.250  0.299
K  0.668  0.750  0.085
K  0.832  0.250  0.585
K  0.955  0.750  0.799
V  0.179  0.750  0.057
V  0.321  0.250  0.557
V  0.679  0.750  0.443
V  0.821  0.250  0.943
Cl  0.000  0.000  0.000
Cl  0.000  0.500  0.000
Cl  0.048  0.750  0.201
Cl  0.161  0.006  0.606
Cl  0.161  0.494  0.606
Cl  0.221  0.250  0.397
Cl  0.279  0.750  0.897
Cl  0.339  0.506  0.106
Cl  0.339  0.994  0.106
Cl  0.452  0.250  0.701
Cl  0.500  0.000  0.500
Cl  0.500  0.500  0.500
Cl  0.548  0.750  0.299
Cl  0.661  0.006  0.894
Cl  0.661  0.494  0.894
Cl  0.721  0.250  0.103
Cl  0.779  0.750  0.603
Cl  0.839  0.506  0.394
Cl  0.839  0.994  0.394
Cl  0.952  0.250  0.799


## ii
Entry from the Alexandria database: a relaxed K2VCl5 crystal (PBE).

Properties
Its space group is I4mm (107).

a b c (Å): 7.452 7.452 8.784
angles (deg): 90.00 90.00 90.00
Element x y z (fractional)
K  0.000  0.500  0.000
K  0.000  0.500  0.500
K  0.500  0.000  0.000
K  0.500  0.000  0.500
V  0.000  0.000  0.210
V  0.500  0.500  0.710
Cl  0.000  0.000  0.959
Cl  0.220  0.220  0.259
Cl  0.220  0.780  0.259
Cl  0.280  0.280  0.759
Cl  0.280  0.720  0.759
Cl  0.500  0.500  0.459
Cl  0.720  0.280  0.759
Cl  0.720  0.720  0.759
Cl  0.780  0.220  0.259
Cl  0.780  0.780  0.259


Most stable to least stable, the ends of the list are i and ii.


## i
Entry from the Alexandria database: a relaxed KV2Cl crystal (PBE).

Properties
Its space group is I-42d (122).

a b c (Å): 4.218 4.218 20.521
angles (deg): 90.00 90.00 90.00
Element x y z (fractional)
K  0.000  0.000  0.000
K  0.000  0.500  0.250
K  0.500  0.000  0.750
K  0.500  0.500  0.500
V  0.024  0.250  0.625
V  0.250  0.524  0.875
V  0.250  0.976  0.375
V  0.476  0.250  0.125
V  0.524  0.750  0.125
V  0.750  0.024  0.375
V  0.750  0.476  0.875
V  0.976  0.750  0.625
Cl  0.000  0.000  0.500
Cl  0.000  0.500  0.750
Cl  0.500  0.000  0.250
Cl  0.500  0.500  0.000


## ii
Entry from the Alexandria database: a relaxed KV2Cl crystal (PBE).

Properties
Its space group is Fm-3m (225).

a b c (Å): 7.436 7.436 7.436
angles (deg): 90.00 90.00 90.00
Element x y z (fractional)
K  0.000  0.000  0.000
K  0.000  0.500  0.500
K  0.500  0.000  0.500
K  0.500  0.500  0.000
V  0.250  0.250  0.250
V  0.250  0.250  0.750
V  0.250  0.750  0.250
V  0.250  0.750  0.750
V  0.750  0.250  0.250
V  0.750  0.250  0.750
V  0.750  0.750  0.250
V  0.750  0.750  0.750
Cl  0.000  0.000  0.500
Cl  0.000  0.500  0.000
Cl  0.500  0.000  0.000
Cl  0.500  0.500  0.500


Most stable to least stable, the ends of the list are i and ii.